1.
Compound: YMg2Hg2
Source: Alexandria via LeMat-Bulk
Functional: PBE-GGA
Structure: optimized geometry

Summary:
space-group type: I4/mmm (139)
energy relative to the elements: -0.293 eV/atom
polymorph energy (0 for the lowest one): 11 meV per atom
spin magnetization: 0.0 μB/cell

Cell: 4.285 4.285 7.196 Å, 72.68 72.68 90.00°
Sites, in units of the cell vectors:
Mg: 0.750 0.250 0.500
Y: 0.000 0.000 0.000
Hg: 0.608 0.608 0.784
Mg: 0.250 0.750 0.500
Hg: 0.392 0.392 0.216

***

2.
Compound: Y2MgHg
Source: Alexandria via LeMat-Bulk
Functional: PBE-GGA
Structure: optimized geometry

Summary:
space-group type: C2/m (12)
energy relative to the elements: -0.149 eV/atom
polymorph energy (0 for the lowest one): 159 meV per atom
spin magnetization: 0.0 μB/cell

Cell: 5.443 5.443 6.277 Å, 78.74 78.74 38.55°
Sites, in units of the cell vectors:
Y: 0.494 0.494 0.507
Hg: 0.750 0.750 0.750
Mg: 0.250 0.250 0.250
Y: 0.006 0.006 0.993